No. 1
# GGA-PBE Ba2Ca17, optimized geometry
# - DFT total energy: -36.5 eV for the cell shown
# - Total magnetization: 0.00 μB/f.u.
data_Ba2Ca17
_cell_length_a 9.719
_cell_length_b 9.719
_cell_length_c 9.719
_cell_angle_alpha 82.37
_cell_angle_beta 82.37
_cell_angle_gamma 82.37
_symmetry_space_group_name_H-M 'P 1'
_symmetry_Int_Tables_number 1
_symmetry_space_group_name_Hall 'P 1'
loop_
_atom_site_label
_atom_site_type_symbol
_atom_site_fract_x
_atom_site_fract_y
_atom_site_fract_z
Ba1 Ba 0.167 0.167 0.167
Ba2 Ba 0.833 0.833 0.833
Ca1 Ca 0.000 0.500 0.500
Ca2 Ca 0.152 0.152 0.653
Ca3 Ca 0.152 0.653 0.152
Ca4 Ca 0.202 0.500 0.798
Ca5 Ca 0.202 0.798 0.500
Ca6 Ca 0.347 0.848 0.848
Ca7 Ca 0.403 0.403 0.403
Ca8 Ca 0.500 0.000 0.500
Ca9 Ca 0.500 0.202 0.798
Ca10 Ca 0.500 0.500 0.000
Ca11 Ca 0.500 0.798 0.202
Ca12 Ca 0.597 0.597 0.597
Ca13 Ca 0.653 0.152 0.152
Ca14 Ca 0.798 0.202 0.500
Ca15 Ca 0.798 0.500 0.202
Ca16 Ca 0.848 0.347 0.848
Ca17 Ca 0.848 0.848 0.347

***

No. 2
# GGA-PBE Ba3Ca4, optimized geometry
# - E above lowest polymorph: 0.002 eV/atom
# - Total magnetization: 0.00 μB/f.u.
data_Ba3Ca4
_cell_length_a 16.408
_cell_length_b 16.408
_cell_length_c 16.408
_cell_angle_alpha 163.56
_cell_angle_beta 163.46
_cell_angle_gamma 23.40
_symmetry_space_group_name_H-M 'P 1'
_symmetry_Int_Tables_number 1
_symmetry_space_group_name_Hall 'P 1'
loop_
_atom_site_label
_atom_site_type_symbol
_atom_site_fract_x
_atom_site_fract_y
_atom_site_fract_z
Ba1 Ba 0.000 0.000 0.000
Ba2 Ba 0.147 0.147 0.000
Ba3 Ba 0.853 0.853 0.000
Ca1 Ca 0.280 0.280 0.000
Ca2 Ca 0.427 0.427 0.000
Ca3 Ca 0.573 0.573 0.000
Ca4 Ca 0.720 0.720 0.000

***

No. 3
# GGA-PBE BaCa2, optimized geometry
# - E above lowest polymorph: 0.058 eV/atom
# - Total magnetization: 0.00 μB/f.u.
data_BaCa2
_cell_length_a 6.588
_cell_length_b 6.588
_cell_length_c 7.712
_cell_angle_alpha 90.00
_cell_angle_beta 90.00
_cell_angle_gamma 120.00
_symmetry_space_group_name_H-M 'P 1'
_symmetry_Int_Tables_number 1
_symmetry_space_group_name_Hall 'P 1'
loop_
_atom_site_label
_atom_site_type_symbol
_atom_site_fract_x
_atom_site_fract_y
_atom_site_fract_z
Ba1 Ba 0.333 0.667 0.250
Ba2 Ba 0.667 0.333 0.750
Ca1 Ca 0.000 0.000 0.000
Ca2 Ca 0.000 0.000 0.500
Ca3 Ca 0.333 0.667 0.750
Ca4 Ca 0.667 0.333 0.250

***

No. 4
# GGA-PBE BaCa2, optimized geometry
# - E above lowest polymorph: 0.017 eV/atom
# - Total magnetization: 0.00 μB/f.u.
data_BaCa2
_cell_length_a 6.491
_cell_length_b 6.491
_cell_length_c 3.922
_cell_angle_alpha 90.00
_cell_angle_beta 90.00
_cell_angle_gamma 120.00
_symmetry_space_group_name_H-M 'P 1'
_symmetry_Int_Tables_number 1
_symmetry_space_group_name_Hall 'P 1'
loop_
_atom_site_label
_atom_site_type_symbol
_atom_site_fract_x
_atom_site_fract_y
_atom_site_fract_z
Ba1 Ba 0.000 0.000 0.000
Ca1 Ca 0.333 0.667 0.353
Ca2 Ca 0.667 0.333 0.647

***

No. 5
# GGA-PBE BaCa2, optimized geometry
# - E above lowest polymorph: 0.000 eV/atom
# - Total magnetization: 0.00 μB/f.u.
data_BaCa2
_cell_length_a 7.585
_cell_length_b 7.585
_cell_length_c 7.585
_cell_angle_alpha 60.00
_cell_angle_beta 60.00
_cell_angle_gamma 60.00
_symmetry_space_group_name_H-M 'P 1'
_symmetry_Int_Tables_number 1
_symmetry_space_group_name_Hall 'P 1'
loop_
_atom_site_label
_atom_site_type_symbol
_atom_site_fract_x
_atom_site_fract_y
_atom_site_fract_z
Ba1 Ba 0.125 0.125 0.125
Ba2 Ba 0.875 0.875 0.875
Ca1 Ca 0.000 0.500 0.500
Ca2 Ca 0.500 0.000 0.500
Ca3 Ca 0.500 0.500 0.000
Ca4 Ca 0.500 0.500 0.500

***

No. 6
# GGA-PBE BaCa, optimized geometry
# - E above lowest polymorph: 0.125 eV/atom
# - Total magnetization: 0.00 μB/f.u.
data_BaCa
_cell_length_a 10.629
_cell_length_b 10.629
_cell_length_c 10.629
_cell_angle_alpha 92.01
_cell_angle_beta 92.01
_cell_angle_gamma 158.40
_symmetry_space_group_name_H-M 'P 1'
_symmetry_Int_Tables_number 1
_symmetry_space_group_name_Hall 'P 1'
loop_
_atom_site_label
_atom_site_type_symbol
_atom_site_fract_x
_atom_site_fract_y
_atom_site_fract_z
Ba1 Ba 0.118 0.830 0.948
Ba2 Ba 0.170 0.118 0.289
Ba3 Ba 0.830 0.882 0.711
Ba4 Ba 0.882 0.170 0.052
Ca1 Ca 0.077 0.368 0.446
Ca2 Ca 0.368 0.923 0.291
Ca3 Ca 0.632 0.077 0.709
Ca4 Ca 0.923 0.632 0.554

***

No. 7
# GGA-PBE Ba3Ca2, optimized geometry
# - E above lowest polymorph: 0.067 eV/atom
# - Total magnetization: 0.26 μB/f.u.
data_Ba3Ca2
_cell_length_a 8.241
_cell_length_b 8.241
_cell_length_c 8.241
_cell_angle_alpha 91.06
_cell_angle_beta 91.06
_cell_angle_gamma 91.06
_symmetry_space_group_name_H-M 'P 1'
_symmetry_Int_Tables_number 1
_symmetry_space_group_name_Hall 'P 1'
loop_
_atom_site_label
_atom_site_type_symbol
_atom_site_fract_x
_atom_site_fract_y
_atom_site_fract_z
Ba1 Ba 0.076 0.750 0.424
Ba2 Ba 0.250 0.576 0.924
Ba3 Ba 0.424 0.076 0.750
Ba4 Ba 0.576 0.924 0.250
Ba5 Ba 0.750 0.424 0.076
Ba6 Ba 0.924 0.250 0.576
Ca1 Ca 0.125 0.125 0.125
Ca2 Ca 0.375 0.375 0.375
Ca3 Ca 0.625 0.625 0.625
Ca4 Ca 0.875 0.875 0.875

***

No. 8
# GGA-PBE Ba6Ca, optimized geometry
# - E above lowest polymorph: 0.000 eV/atom
# - Total magnetization: 0.00 μB/f.u.
data_Ba6Ca
_cell_length_a 10.736
_cell_length_b 10.736
_cell_length_c 10.736
_cell_angle_alpha 37.94
_cell_angle_beta 37.94
_cell_angle_gamma 37.94
_symmetry_space_group_name_H-M 'P 1'
_symmetry_Int_Tables_number 1
_symmetry_space_group_name_Hall 'P 1'
loop_
_atom_site_label
_atom_site_type_symbol
_atom_site_fract_x
_atom_site_fract_y
_atom_site_fract_z
Ba1 Ba 0.071 0.071 0.071
Ba2 Ba 0.212 0.212 0.212
Ba3 Ba 0.359 0.359 0.359
Ba4 Ba 0.641 0.641 0.641
Ba5 Ba 0.788 0.788 0.788
Ba6 Ba 0.929 0.929 0.929
Ca1 Ca 0.500 0.500 0.500

***

No. 9
# GGA-PBE BaCa3, optimized geometry
# - DFT total energy: -7.8 eV for the cell shown
# - Total magnetization: 0.00 μB/f.u.
data_BaCa3
_cell_length_a 4.169
_cell_length_b 5.363
_cell_length_c 8.390
_cell_angle_alpha 90.00
_cell_angle_beta 90.00
_cell_angle_gamma 90.00
_symmetry_space_group_name_H-M 'P 1'
_symmetry_Int_Tables_number 1
_symmetry_space_group_name_Hall 'P 1'
loop_
_atom_site_label
_atom_site_type_symbol
_atom_site_fract_x
_atom_site_fract_y
_atom_site_fract_z
Ba1 Ba 0.000 0.000 0.000
Ca1 Ca 0.000 0.000 0.500
Ca2 Ca 0.500 0.500 0.269
Ca3 Ca 0.500 0.500 0.731

***

No. 10
# GGA-PBE Ba2Ca, optimized geometry
# - E above lowest polymorph: 0.382 eV/atom
# - Total magnetization: 1.93 μB/f.u.
data_Ba2Ca
_cell_length_a 9.222
_cell_length_b 9.222
_cell_length_c 9.222
_cell_angle_alpha 90.00
_cell_angle_beta 90.00
_cell_angle_gamma 90.00
_symmetry_space_group_name_H-M 'P 1'
_symmetry_Int_Tables_number 1
_symmetry_space_group_name_Hall 'P 1'
loop_
_atom_site_label
_atom_site_type_symbol
_atom_site_fract_x
_atom_site_fract_y
_atom_site_fract_z
Ba1 Ba 0.145 0.145 0.145
Ba2 Ba 0.145 0.355 0.645
Ba3 Ba 0.355 0.645 0.145
Ba4 Ba 0.355 0.855 0.645
Ba5 Ba 0.645 0.145 0.355
Ba6 Ba 0.645 0.355 0.855
Ba7 Ba 0.855 0.645 0.355
Ba8 Ba 0.855 0.855 0.855
Ca1 Ca 0.000 0.000 0.500
Ca2 Ca 0.000 0.500 0.000
Ca3 Ca 0.500 0.000 0.000
Ca4 Ca 0.500 0.500 0.500

***

No. 11
# GGA-PBE BaCa, optimized geometry
# - E above lowest polymorph: 1.003 eV/atom
# - Total magnetization: 0.00 μB/f.u.
data_BaCa
_cell_length_a 6.497
_cell_length_b 6.497
_cell_length_c 6.497
_cell_angle_alpha 60.00
_cell_angle_beta 60.00
_cell_angle_gamma 60.00
_symmetry_space_group_name_H-M 'P 1'
_symmetry_Int_Tables_number 1
_symmetry_space_group_name_Hall 'P 1'
loop_
_atom_site_label
_atom_site_type_symbol
_atom_site_fract_x
_atom_site_fract_y
_atom_site_fract_z
Ba1 Ba 0.000 0.000 0.000
Ca1 Ca 0.250 0.250 0.250

***

No. 12
# GGA-PBE BaCa, optimized geometry
# - E above lowest polymorph: 0.039 eV/atom
# - Total magnetization: 0.00 μB/f.u.
data_BaCa
_cell_length_a 4.158
_cell_length_b 4.158
_cell_length_c 6.877
_cell_angle_alpha 90.00
_cell_angle_beta 90.00
_cell_angle_gamma 120.00
_symmetry_space_group_name_H-M 'P 1'
_symmetry_Int_Tables_number 1
_symmetry_space_group_name_Hall 'P 1'
loop_
_atom_site_label
_atom_site_type_symbol
_atom_site_fract_x
_atom_site_fract_y
_atom_site_fract_z
Ba1 Ba 0.000 0.000 0.000
Ca1 Ca 0.667 0.333 0.500

***

No. 13
# GGA-PBE Ba5Ca4, optimized geometry
# - E above lowest polymorph: 0.007 eV/atom
# - Total magnetization: 0.00 μB/f.u.
data_Ba5Ca4
_cell_length_a 10.067
_cell_length_b 10.067
_cell_length_c 10.067
_cell_angle_alpha 93.55
_cell_angle_beta 93.55
_cell_angle_gamma 151.19
_symmetry_space_group_name_H-M 'P 1'
_symmetry_Int_Tables_number 1
_symmetry_space_group_name_Hall 'P 1'
loop_
_atom_site_label
_atom_site_type_symbol
_atom_site_fract_x
_atom_site_fract_y
_atom_site_fract_z
Ba1 Ba 0.000 0.000 0.000
Ba2 Ba 0.333 0.333 0.666
Ba3 Ba 0.333 0.667 0.000
Ba4 Ba 0.667 0.333 0.000
Ba5 Ba 0.667 0.667 0.334
Ca1 Ca 0.000 0.344 0.344
Ca2 Ca 0.000 0.656 0.656
Ca3 Ca 0.344 0.000 0.344
Ca4 Ca 0.656 0.000 0.656